Computed, not measured: a relaxed LiHfReTe crystal at the PBE level of DFT.

a b c (Å): 4.578 4.578 4.578
angles (deg): 60.00 60.00 60.00
Fractional positions:
Li  0.750  0.750  0.750
Hf  0.500  0.500  0.500
Re  0.250  0.250  0.250
Te  0.000  0.000  0.000

Output
The theoretical density is 12.22 g/cm³. The value obtained for the total energy is -0.2547 hartree per atom. The size of the total moment comes out at 0.00 μB/atom.